No. 1
A relaxed structure of RbIBr3, computed with PBE.

D(E_F) ... 2.76 states/eV/cell
Energy relative to the lowest polymorph listed for this composition ... 65 meV per atom

Unit cell a=5.9266 b=5.9266 c=5.9266 alpha=90.00 beta=90.00 gamma=90.00
Element x y z (fractional)
I (0.0000, 0.0000, 0.0000)
Br (0.0000, 0.5000, 0.0000)
Br (0.0000, 0.0000, 0.5000)
Br (0.5000, 0.0000, 0.0000)
Rb (0.5000, 0.5000, 0.5000)



No. 2
A relaxed structure of Th6TeAs2C3, computed with PBE.

D(E_F) ... 6.09 states/eV/cell

Unit cell a=3.9503 b=8.3624 c=9.2470 alpha=107.35 beta=102.33 gamma=90.00
Element x y z (fractional)
Th (0.3197, 0.9373, 0.6394)
Th (0.6593, 0.6022, 0.3186)
Th (0.6803, 0.0627, 0.3606)
Th (0.9890, 0.2866, 0.9780)
Th (0.0110, 0.7134, 0.0220)
Th (0.3407, 0.3978, 0.6814)
Te (0.5000, 0.0000, 0.0000)
As (0.8350, 0.6706, 0.6700)
As (0.1650, 0.3294, 0.3300)
C (0.5000, 0.5000, 0.0000)
C (0.8312, 0.1681, 0.6624)
C (0.1688, 0.8319, 0.3376)



No. 3
A relaxed structure of MgScSb2I, computed with PBE.

D(E_F) ... 5.28 states/eV/cell
Energy relative to the lowest polymorph listed for this composition ... 0 meV per atom

Unit cell a=5.5844 b=5.5844 c=5.5974 alpha=90.00 beta=90.00 gamma=90.00
Element x y z (fractional)
I (0.0000, 0.0000, 0.5000)
Sb (0.0000, 0.5000, 0.0000)
Sb (0.5000, 0.0000, 0.0000)
Mg (0.5000, 0.5000, 0.5000)
Sc (0.0000, 0.0000, 0.0000)



Q: Which formation energy without anion corrections values were calculated for the entries above? A: -320.2 -940.7 3.8, in kJ/mol of formula units.